No. 1
The following is a PBE+U calculation of a geometry-optimized CdCoSO structure, from the Open Quantum Materials Database.

Summary:
- M_tot: 2.96 μB per formula unit

Cell lengths 6.678, 6.753, 11.184 Å; angles 90.00, 90.00, 90.00 degrees
Space group Pbca (No. 61)
Unique sites:
Cd (0.248, 0.002, 0.249)
Co (0.003, 0.250, 0.452)
S (0.250, 0.000, 0.002)
O (0.007, 0.248, 0.774)

***

No. 2
The following is a PBE+U calculation of a geometry-optimized Sr2CdCoS2O2 structure, from the Open Quantum Materials Database.

Summary:
- M_tot: 3.01 μB per formula unit

Cell lengths 3.9764, 3.9764, 11.8880 Å; angles 90.00, 90.00, 120.00 degrees
Space group P3m1 (No. 156)
Unique sites:
Sr (0.0000, 0.0000, 0.0000)
Sr (0.3333, 0.6667, 0.5284)
Cd (0.6667, 0.3333, 0.2482)
Co (0.6667, 0.3333, 0.7489)
S (0.0000, 0.0000, 0.3450)
S (0.3333, 0.6667, 0.8132)
O (0.6667, 0.3333, 0.0680)
O (0.6667, 0.3333, 0.5924)

***

No. 3
The following is a PBE+U calculation of a geometry-optimized CdCo3Sn4O12 structure, from the Open Quantum Materials Database.

Summary:
- M_tot: 9.00 μB per formula unit

Cell lengths 7.725, 7.725, 7.725 Å; angles 90.00, 90.00, 90.00 degrees
Space group Im-3 (No. 204)
Unique sites:
Cd (0.000, 0.000, 0.000)
Co (0.000, 0.000, 0.500)
Sn (0.250, 0.250, 0.250)
O (0.000, 0.308, 0.176)

***

No. 4
The following is a PBE+U calculation of a geometry-optimized SrCd3Co4O12 structure, from the Open Quantum Materials Database.

Summary:
- M_tot: 7.72 μB per formula unit

Cell lengths 7.477, 7.477, 7.477 Å; angles 90.00, 90.00, 90.00 degrees
Space group Im-3 (No. 204)
Unique sites:
Sr (0.000, 0.000, 0.000)
Cd (0.000, 0.000, 0.500)
Co (0.250, 0.250, 0.250)
O (0.000, 0.290, 0.203)

***

No. 5
The following is a PBE+U calculation of a geometry-optimized CdCoTeO structure, from the Open Quantum Materials Database.

Summary:
- M_tot: 3.00 μB per formula unit

Cell lengths 3.964, 13.344, 6.044 Å; angles 90.00, 90.00, 90.00 degrees
Space group Cmc2_1 (No. 36)
Unique sites:
Cd (0.000, 0.163, 0.000)
Co (0.000, 0.458, 0.136)
Te (0.000, 0.157, 0.481)
O (0.000, 0.426, 0.451)

***

No. 6
The following is a PBE+U calculation of a geometry-optimized CdCoTeO structure, from the Open Quantum Materials Database.

Summary:
- M_tot: 3.00 μB per formula unit

Cell lengths 6.753, 7.717, 6.538 Å; angles 90.00, 90.00, 90.00 degrees
Space group Pca2_1 (No. 29)
Unique sites:
Cd (0.113, 0.094, 0.000)
Co (0.036, 0.674, 0.101)
Te (0.088, 0.640, 0.706)
O (0.087, 0.108, 0.657)

***

No. 7
The following is a PBE+U calculation of a geometry-optimized CdCoTeO structure, from the Open Quantum Materials Database.

Summary:
- M_tot: 1.88 μB per formula unit

Cell lengths 4.360, 4.360, 8.284 Å; angles 90.00, 90.00, 90.00 degrees
Space group P4/nmm (No. 129, origin choice 2)
Unique sites:
Cd (0.250, 0.250, 0.161)
Co (0.250, 0.250, 0.695)
Te (0.250, 0.750, 0.500)
O (0.250, 0.250, 0.907)

***

No. 8
The following is a PBE+U calculation of a geometry-optimized CdCoTeO structure, from the Open Quantum Materials Database.

Summary:
- M_tot: 2.07 μB per formula unit

Cell lengths 3.415, 3.415, 12.218 Å; angles 90.00, 90.00, 90.00 degrees
Space group P4/nmm (No. 129, origin choice 2)
Unique sites:
Cd (0.250, 0.250, 0.095)
Co (0.250, 0.750, 0.500)
Te (0.250, 0.250, 0.662)
O (0.250, 0.250, 0.906)

***

No. 9
The following is a PBE+U calculation of a geometry-optimized CdCoTeO structure, from the Open Quantum Materials Database.

Summary:
- M_tot: 1.00 μB per formula unit

Cell lengths 6.098, 8.938, 5.873 Å; angles 90.00, 90.00, 90.00 degrees
Space group Pca2_1 (No. 29)
Unique sites:
Cd (0.002, 0.179, 0.000)
Co (0.118, 0.559, 0.881)
Te (0.014, 0.164, 0.506)
O (0.094, 0.569, 0.538)

***

No. 10
The following is a PBE+U calculation of a geometry-optimized CdCoTeO structure, from the Open Quantum Materials Database.

Summary:
- M_tot: 2.79 μB per formula unit

Cell lengths 3.551, 13.592, 6.547 Å; angles 90.00, 90.00, 90.00 degrees
Space group Cmc2_1 (No. 36)
Unique sites:
Cd (0.000, 0.044, 0.000)
Co (0.000, 0.333, 0.868)
Te (0.000, 0.321, 0.282)
O (0.000, 0.091, 0.319)

***

No. 11
The following is a PBE+U calculation of a geometry-optimized CdCoTeO structure, from the Open Quantum Materials Database.

Summary:
- M_tot: 2.90 μB per formula unit

Cell lengths 4.040, 4.040, 9.883 Å; angles 90.00, 90.00, 90.00 degrees
Space group P4/nmm (No. 129, origin choice 2)
Unique sites:
Cd (0.250, 0.250, 0.125)
Co (0.250, 0.250, 0.535)
Te (0.250, 0.250, 0.815)
O (0.250, 0.750, 0.500)

***

No. 12
The following is a PBE+U calculation of a geometry-optimized CdCoTeO structure, from the Open Quantum Materials Database.

Summary:
- M_tot: 2.70 μB per formula unit

Cell lengths 3.6186, 3.6186, 13.3928 Å; angles 90.00, 90.00, 120.00 degrees
Space group P6_3mc (No. 186)
Unique sites:
Cd (0.0000, 0.0000, 0.0000)
Co (0.3333, 0.6667, 0.2988)
Te (0.3333, 0.6667, 0.6489)
O (0.0000, 0.0000, 0.3399)

***

Number 1: mass density 5.8 Mg/m³, final energy -4.34 eV per atom. Number 2: mass density 4.5 Mg/m³, final energy -5.10 eV per atom. Number 3: mass density 6.9 Mg/m³, final energy -5.90 eV per atom. Number 4: mass density 6.8 Mg/m³, final energy -5.16 eV per atom. Number 5: mass density 6.5 Mg/m³, final energy -4.03 eV per atom. Number 6: mass density 6.1 Mg/m³, final energy -4.00 eV per atom. Number 7: mass density 6.6 Mg/m³, final energy -3.55 eV per atom. Number 8: mass density 7.3 Mg/m³, final energy -3.75 eV per atom. Number 9: mass density 6.5 Mg/m³, final energy -3.85 eV per atom. Number 10: mass density 6.6 Mg/m³, final energy -3.91 eV per atom. Number 11: mass density 6.5 Mg/m³, final energy -4.00 eV per atom. Number 12: mass density 6.9 Mg/m³, final energy -3.74 eV per atom.